Material: CsCdAsI6
Method: DFT, PBE-GGA
State: relaxed

Unit cell a=7.642 b=7.642 c=8.827 alpha=90.00 beta=90.00 gamma=120.00
Sites, in units of the cell vectors:
Cs 0.000 0.000 0.000
Cd 0.333 0.667 0.500
As 0.667 0.333 0.500
I 0.374 0.012 0.693
I 0.374 0.362 0.307
I 0.638 0.012 0.307
I 0.638 0.626 0.693
I 0.988 0.362 0.693
I 0.988 0.626 0.307

## Properties
M_tot   0.0 μB per cell
Fermi-level density of states   0.00 states/eV/atom
SG   P312
Uncorrected formation energy   -5.38 eV/f.u.